*one*
# Mo2SeN

A relaxed structure of Mo2SeN (GGA-PBE, Alexandria).

a b c (Å): 4.1967 4.1967 4.1967
angles (deg): 60.00 60.00 60.00
Last column: nearest neighbours and their distance in Å.
Fractional coordinates of all 4 atoms:
Mo  0.2500  0.2500  0.2500  4 Se 2.57, 4 N 2.57
Mo  0.7500  0.7500  0.7500  4 Se 2.57, 4 N 2.57
Se  0.0000  0.0000  0.0000  8 Mo 2.57
N  0.5000  0.5000  0.5000  8 Mo 2.57

*two*
# Mo2SeN

A relaxed structure of Mo2SeN (GGA-PBE, Alexandria).

a b c (Å): 6.9646 6.9646 6.9646
angles (deg): 141.10 141.10 56.18
Last column: nearest neighbours and their distance in Å.
Fractional coordinates of all 8 atoms:
Mo  0.0248  0.6250  0.8998  2 N 2.05
Mo  0.3750  0.2748  0.3998  2 N 2.05
Mo  0.7252  0.1250  0.1002  2 N 2.05
Mo  0.8750  0.9752  0.6002  2 N 2.05
Se  0.2500  0.7500  0.5000  4 Mo 2.52
Se  0.5000  0.5000  0.0000  4 Mo 2.52
N  0.0000  0.0000  0.0000  4 Mo 2.05
N  0.7500  0.2500  0.5000  4 Mo 2.05

Stability, highest: *two*

*one*
# SiMoSe2N

A relaxed structure of SiMoSe2N (GGA-PBE, Alexandria).

a b c (Å): 5.0834 5.0834 3.7799
angles (deg): 90.00 90.00 90.00
Last column: nearest neighbours and their distance in Å.
Fractional coordinates of all 5 atoms:
Si  0.0000  0.0000  0.0000  8 Se 3.17
Mo  0.5000  0.5000  0.5000  2 N 1.89
Se  0.0000  0.5000  0.5000  2 Mo 2.54
Se  0.5000  0.0000  0.5000  2 Mo 2.54
N  0.5000  0.5000  0.0000  2 Mo 1.89

*two*
# SiMoSe2N

A relaxed structure of SiMoSe2N (GGA-PBE, Alexandria).

a b c (Å): 5.0387 5.0387 3.2787
angles (deg): 90.00 90.00 90.00
Last column: nearest neighbours and their distance in Å.
Fractional coordinates of all 5 atoms:
Si  0.0000  0.0000  0.0000  2 N 1.64
Mo  0.5000  0.5000  0.5000  8 Se 3.01, 2 Mo 3.28
Se  0.0000  0.5000  0.0000  2 Si 2.52
Se  0.5000  0.0000  0.0000  2 Si 2.52
N  0.0000  0.0000  0.5000  2 Si 1.64

Stability, highest: *one*